{
  "formula": "NaNdCdSe3",
  "functional": "PBE-GGA",
  "state": "optimized geometry",
  "e_above_lowest_polymorph_mev_per_atom": 6,
  "lattice_angstrom": [[14.046, 0.000, 0.000], [0.000, 4.278, 0.000], [0.000, 0.000, 11.596]],
  "species": ["Cd", "Cd", "Cd", "Cd", "Nd", "Nd", "Nd", "Nd", "Na", "Na", "Na", "Na", "Se", "Se", "Se", "Se", "Se", "Se", "Se", "Se", "Se", "Se", "Se", "Se"],
  "frac_coords": [[0.514, 0.250, 0.402], [0.986, 0.750, 0.902], [0.014, 0.250, 0.098], [0.486, 0.750, 0.598], [0.526, 0.750, 0.155], [0.974, 0.250, 0.655], [0.474, 0.250, 0.845], [0.026, 0.750, 0.345], [0.752, 0.250, 0.896], [0.252, 0.250, 0.604], [0.748, 0.750, 0.396], [0.248, 0.750, 0.104], [0.895, 0.250, 0.423], [0.101, 0.250, 0.881], [0.605, 0.750, 0.923], [0.601, 0.250, 0.619], [0.152, 0.250, 0.252], [0.395, 0.250, 0.077], [0.652, 0.250, 0.248], [0.848, 0.750, 0.748], [0.899, 0.750, 0.119], [0.348, 0.750, 0.752], [0.105, 0.750, 0.577], [0.399, 0.750, 0.381]]
}


{
  "formula": "NaNdCdSe3",
  "functional": "PBE-GGA",
  "state": "optimized geometry",
  "e_above_lowest_polymorph_mev_per_atom": 31,
  "lattice_angstrom": [[-2.096, -1.504, -7.797], [4.167, -0.122, -1.097], [0.347, -17.279, 3.239]],
  "species": ["Cd", "Cd", "Cd", "Cd", "Se", "Se", "Se", "Se", "Se", "Se", "Se", "Se", "Se", "Se", "Se", "Se", "Nd", "Nd", "Nd", "Nd", "Na", "Na", "Na", "Na"],
  "frac_coords": [[0.073, 0.750, 0.662], [0.927, 0.250, 0.338], [0.573, 0.750, 0.838], [0.427, 0.250, 0.162], [0.511, 0.750, 0.078], [0.231, 0.750, 0.790], [0.269, 0.250, 0.290], [0.769, 0.250, 0.210], [0.373, 0.750, 0.567], [0.489, 0.250, 0.922], [0.873, 0.750, 0.933], [0.731, 0.750, 0.710], [0.011, 0.750, 0.422], [0.989, 0.250, 0.578], [0.127, 0.250, 0.067], [0.627, 0.250, 0.433], [0.271, 0.250, 0.461], [0.771, 0.250, 0.039], [0.729, 0.750, 0.539], [0.229, 0.750, 0.961], [0.560, 0.750, 0.301], [0.060, 0.750, 0.199], [0.940, 0.250, 0.801], [0.440, 0.250, 0.699]]
}


{
  "formula": "NaNdCdSe3",
  "functional": "PBE-GGA",
  "state": "optimized geometry",
  "e_above_lowest_polymorph_mev_per_atom": 0,
  "lattice_angstrom": [[-0.789, -0.351, -4.201], [11.934, -2.684, -2.017], [-2.486, -12.166, 1.483]],
  "species": ["Se", "Se", "Se", "Se", "Se", "Se", "Se", "Se", "Se", "Se", "Se", "Se", "Nd", "Nd", "Nd", "Nd", "Cd", "Cd", "Cd", "Cd", "Na", "Na", "Na", "Na"],
  "frac_coords": [[0.750, 0.654, 0.442], [0.750, 0.929, 0.586], [0.250, 0.346, 0.558], [0.250, 0.429, 0.914], [0.750, 0.846, 0.942], [0.750, 0.344, 0.278], [0.750, 0.571, 0.086], [0.250, 0.844, 0.222], [0.750, 0.156, 0.778], [0.250, 0.071, 0.414], [0.250, 0.656, 0.722], [0.250, 0.154, 0.058], [0.250, 0.827, 0.459], [0.750, 0.327, 0.041], [0.250, 0.673, 0.959], [0.750, 0.173, 0.541], [0.750, 0.786, 0.738], [0.250, 0.214, 0.262], [0.250, 0.286, 0.762], [0.750, 0.714, 0.238], [0.750, 0.994, 0.131], [0.750, 0.506, 0.631], [0.250, 0.006, 0.869], [0.250, 0.494, 0.369]]
}


{
  "formula": "NaNdCdSe3",
  "functional": "PBE-GGA",
  "state": "optimized geometry",
  "e_above_lowest_polymorph_mev_per_atom": 46,
  "lattice_angstrom": [[9.018, -2.116, 0.000], [9.018, 2.116, 0.000], [-2.477, 0.000, 8.690]],
  "species": ["Nd", "Nd", "Se", "Se", "Se", "Se", "Se", "Se", "Na", "Na", "Cd", "Cd"],
  "frac_coords": [[0.822, 0.822, 0.892], [0.178, 0.178, 0.108], [0.659, 0.659, 0.867], [0.500, 0.500, 0.500], [0.000, 0.000, 0.000], [0.341, 0.341, 0.133], [0.327, 0.327, 0.672], [0.673, 0.673, 0.328], [0.874, 0.874, 0.425], [0.126, 0.126, 0.575], [0.485, 0.485, 0.782], [0.515, 0.515, 0.218]]
}


{
  "formula": "NaNdCdSe3",
  "functional": "PBE-GGA",
  "state": "optimized geometry",
  "e_above_lowest_polymorph_mev_per_atom": 10,
  "lattice_angstrom": [[6.901, -2.118, 0.000], [6.901, 2.118, 0.000], [0.000, 0.000, 11.362]],
  "species": ["Se", "Se", "Se", "Se", "Se", "Se", "Na", "Na", "Nd", "Nd", "Cd", "Cd"],
  "frac_coords": [[0.358, 0.358, 0.437], [0.642, 0.642, 0.563], [0.089, 0.089, 0.250], [0.642, 0.642, 0.937], [0.911, 0.911, 0.750], [0.358, 0.358, 0.063], [0.244, 0.244, 0.750], [0.756, 0.756, 0.250], [0.000, 0.000, 0.500], [0.000, 0.000, 0.000], [0.531, 0.531, 0.750], [0.469, 0.469, 0.250]]
}


{
  "formula": "NaNdCdSe3",
  "functional": "PBE-GGA",
  "state": "optimized geometry",
  "e_above_lowest_polymorph_mev_per_atom": 8,
  "lattice_angstrom": [[8.146, 0.000, 0.000], [0.000, 4.275, 0.000], [-2.385, 0.000, 9.983]],
  "species": ["Se", "Se", "Se", "Se", "Se", "Se", "Na", "Na", "Cd", "Cd", "Nd", "Nd"],
  "frac_coords": [[0.551, 0.250, 0.355], [0.752, 0.750, 0.046], [0.054, 0.250, 0.346], [0.449, 0.750, 0.645], [0.248, 0.250, 0.954], [0.946, 0.750, 0.654], [0.268, 0.750, 0.262], [0.732, 0.250, 0.738], [0.582, 0.250, 0.106], [0.418, 0.750, 0.894], [0.808, 0.750, 0.365], [0.192, 0.250, 0.635]]
}


{
  "formula": "NaCdNi",
  "functional": "PBE-GGA",
  "state": "optimized geometry",
  "e_tot_ev_per_fu": -6.749,
  "lattice_angstrom": [[3.538, 1.190, 2.451], [-0.556, 1.324, 4.229], [1.371, -2.609, 3.356]],
  "species": ["Cd", "Na", "Ni"],
  "frac_coords": [[0.250, 0.250, 0.250], [0.750, 0.750, 0.750], [0.000, 0.000, 0.000]]
}


{
  "formula": "Na2CdNiS4",
  "functional": "PBE-GGA",
  "state": "optimized geometry",
  "e_tot_ev_per_fu": -29.474,
  "lattice_angstrom": [[4.676, -4.136, 0.000], [4.676, 4.136, 0.000], [-4.672, 0.000, 4.676]],
  "species": ["Cd", "S", "S", "S", "S", "Na", "Na", "Ni"],
  "frac_coords": [[0.014, 0.986, 0.000], [0.359, 0.033, 0.468], [0.967, 0.641, 0.532], [0.593, 0.863, 0.924], [0.137, 0.407, 0.076], [0.514, 0.486, 0.000], [0.764, 0.236, 0.500], [0.264, 0.736, 0.500]]
}


{
  "formula": "NaCdNiSb",
  "functional": "PBE-GGA",
  "state": "optimized geometry",
  "e_above_lowest_polymorph_mev_per_atom": 107,
  "lattice_angstrom": [[0.000, 3.402, 3.402], [3.402, 0.000, 3.402], [3.402, 3.402, 0.000]],
  "species": ["Na", "Cd", "Sb", "Ni"],
  "frac_coords": [[0.750, 0.750, 0.750], [0.000, 0.000, 0.000], [0.250, 0.250, 0.250], [0.500, 0.500, 0.500]]
}


{
  "formula": "NaCdNiSb",
  "functional": "PBE-GGA",
  "state": "optimized geometry",
  "e_above_lowest_polymorph_mev_per_atom": 0,
  "lattice_angstrom": [[-3.234, 2.141, 2.737], [-4.375, 0.784, -1.666], [-3.670, -2.474, 1.714]],
  "species": ["Sb", "Ni", "Na", "Cd"],
  "frac_coords": [[0.000, 0.000, 0.000], [0.250, 0.250, 0.250], [0.750, 0.750, 0.750], [0.500, 0.500, 0.500]]
}


{
  "formula": "NaCdNiSb",
  "functional": "PBE-GGA",
  "state": "optimized geometry",
  "e_above_lowest_polymorph_mev_per_atom": 205,
  "lattice_angstrom": [[-1.676, 0.694, 4.493], [-0.726, 4.498, 1.647], [-4.511, 1.633, 0.678]],
  "species": ["Sb", "Na", "Ni", "Cd"],
  "frac_coords": [[0.000, 0.000, 0.000], [0.750, 0.750, 0.750], [0.500, 0.500, 0.500], [0.250, 0.250, 0.250]]
}


{
  "formula": "NaTaCdNi",
  "functional": "PBE-GGA",
  "state": "optimized geometry",
  "e_above_lowest_polymorph_mev_per_atom": 0,
  "lattice_angstrom": [[0.000, 3.192, 3.192], [3.192, 0.000, 3.192], [3.192, 3.192, 0.000]],
  "species": ["Cd", "Ni", "Ta", "Na"],
  "frac_coords": [[0.500, 0.500, 0.500], [0.250, 0.250, 0.250], [0.000, 0.000, 0.000], [0.750, 0.750, 0.750]]
}


no.,ρ (g/cm3),volume (Å³/cell)
1,4.9,696.75
2,5.5,622.42
3,5.2,665.00
4,5.2,331.58
5,5.2,332.19
6,4.9,347.65
7,5.1,62.99
8,3.2,180.83
9,6.7,78.72
10,6.9,75.63
11,6.5,80.43
12,9.6,65.08